Record 1
DFT (PBE-GGA) results for a geometry-optimized Tb3CuO structure.

The structure belongs to space group Pm-3m (No. 221); the cell edges are 4.7190, 4.7190 and 4.7190 Å and the angles 90.00°, 90.00° and 90.00°. The asymmetric unit holds Tb at (0.0000, 0.0000, 0.5000), Cu at (0.5000, 0.5000, 0.5000) and O at (0.0000, 0.0000, 0.0000).

For the total moment, the calculation gives 0.00 μB per atom. Its uncorrected energy is -5.712 eV per atom. The value obtained for the density of states at the Fermi level is 1.110 states/eV per atom. The value obtained for the uncorrected formation energy is -5.61 eV per formula unit.



Record 2
DFT (PBE-GGA) results for a geometry-optimized Tb12Cu3O5 structure.

The structure belongs to space group Ia-3d (No. 230); the cell edges are 15.2280, 15.2280 and 15.2280 Å and the angles 90.00°, 90.00° and 90.00°. The asymmetric unit holds Tb at (0.0359, 0.0551, 0.6499), Cu at (0.0000, 0.2500, 0.1250), O at (0.0000, 0.0000, 0.0000) and O at (0.0000, 0.2500, 0.3750).

For the total moment, the calculation gives 0.00 μB per atom. Its uncorrected energy is -6.081 eV per atom. The value obtained for the density of states at the Fermi level is 0.632 states/eV per atom. The value obtained for the uncorrected formation energy is -28.98 eV per formula unit.



Record 3
DFT (PBE-GGA) results for a geometry-optimized Tb3Cu5O12 structure.

The structure belongs to space group Ia-3d (No. 230); the cell edges are 12.3628, 12.3628 and 12.3628 Å and the angles 90.00°, 90.00° and 90.00°. The asymmetric unit holds Tb at (0.0000, 0.2500, 0.1250), Cu at (0.0000, 0.0000, 0.0000), Cu at (0.0000, 0.2500, 0.3750) and O at (0.0241, 0.0542, 0.6482).

For the total moment, the calculation gives 0.05 μB per atom. Its uncorrected energy is -6.240 eV per atom. The value obtained for the density of states at the Fermi level is 0.786 states/eV per atom. The value obtained for the uncorrected formation energy is -30.92 eV per formula unit.



Record 4
DFT (PBE-GGA) results for a geometry-optimized Tb3CuO6 structure.

The structure belongs to space group Cmc2_1 (No. 36); the cell edges are 8.9094, 11.1368 and 5.5239 Å and the angles 90.00°, 90.00° and 90.00°. The asymmetric unit holds Tb at (0.0000, 0.1028, 0.0000), Tb at (0.1936, 0.3941, 0.0471), Cu at (0.0000, 0.3136, 0.5707), O at (0.0000, 0.2837, 0.2354), O at (0.0000, 0.4612, 0.7612), O at (0.1569, 0.2396, 0.7612) and O at (0.1599, 0.0149, 0.2758).

For the total moment, the calculation gives 0.20 μB per atom. Its uncorrected energy is -7.497 eV per atom. The value obtained for the density of states at the Fermi level is 0.169 states/eV per atom. The value obtained for the uncorrected formation energy is -27.23 eV per formula unit.



Record 5
DFT (PBE-GGA) results for a geometry-optimized TbCu6O8 structure.

The structure belongs to space group Pm-3 (No. 200); the cell edges are 5.5272, 5.5272 and 5.5272 Å and the angles 90.00°, 90.00° and 90.00°. The asymmetric unit holds Tb at (0.0000, 0.0000, 0.0000), Cu at (0.0000, 0.2633, 0.5000) and O at (0.2446, 0.2446, 0.2446).

For the total moment, the calculation gives 0.00 μB per atom. Its uncorrected energy is -5.599 eV per atom. The value obtained for the density of states at the Fermi level is 0.488 states/eV per atom. The value obtained for the uncorrected formation energy is -15.11 eV per formula unit.



Record 6
DFT (PBE-GGA) results for a geometry-optimized Tb2CuTeO6 structure.

The structure belongs to space group P1 (No. 1); the cell edges are 5.6740, 5.6755 and 5.9323 Å and the angles 118.52°, 90.02° and 119.94°. The asymmetric unit holds Tb at (0.0000, 0.0000, 0.0000), Tb at (0.4977, 0.9957, 0.4939), Cu at (0.2173, 0.4336, 0.6499), Te at (0.7101, 0.4205, 0.1305), O at (0.0767, 0.5056, 0.3363), O at (0.3403, 0.2515, 0.8450), O at (0.4282, 0.2594, 0.3363), O at (0.5938, 0.9346, 0.8454), O at (0.8296, 0.9060, 0.3353) and O at (0.9107, 0.5045, 0.8451).

For the total moment, the calculation gives 0.00 μB per atom. Its uncorrected energy is -6.705 eV per atom. The value obtained for the density of states at the Fermi level is 0.255 states/eV per atom. The value obtained for the uncorrected formation energy is -20.81 eV per formula unit.